1.
Density functional theory data (PBE) for a relaxed structure of NaNpBi2.

Cell: 5.847 5.847 3.376 Å, 90.00 90.00 90.00°
Element x y z (fractional)
Na1 0.000 0.000 0.000
Np1 0.500 0.500 0.000
Bi1 0.000 0.500 0.500
Bi2 0.500 0.000 0.500

Calculated values
Total magnetic moment ... 1.031 μB per atom
Formation energy ... -0.09 eV/atom
Relative energy among the computed polymorphs ... 0.054 eV per atom

---

2.
Density functional theory data (PBE) for a relaxed structure of Cs2KSmCl6.

Cell: 8.100 8.100 8.100 Å, 60.00 60.00 60.00°
Element x y z (fractional)
Cs1 0.250 0.250 0.250
Cs2 0.750 0.750 0.750
K1 0.000 0.000 0.000
Sm1 0.500 0.500 0.500
Cl1 0.264 0.264 0.736
Cl2 0.264 0.736 0.264
Cl3 0.264 0.736 0.736
Cl4 0.736 0.264 0.264
Cl5 0.736 0.264 0.736
Cl6 0.736 0.736 0.264

Calculated values
Total magnetic moment ... 0.000 μB per atom
Formation energy (no corrections) ... -2148 meV per atom

---

3.
Density functional theory data (PBE) for a relaxed structure of CoSi2Tc2.

Cell: 5.826 5.826 3.782 Å, 90.00 90.00 90.00°
Element x y z (fractional)
Co1 0.000 0.000 0.000
Co2 0.500 0.500 0.000
Si1 0.142 0.358 0.000
Si2 0.358 0.858 0.000
Si3 0.642 0.142 0.000
Si4 0.858 0.642 0.000
Tc1 0.174 0.674 0.500
Tc2 0.326 0.174 0.500
Tc3 0.674 0.826 0.500
Tc4 0.826 0.326 0.500

Calculated values
Total magnetic moment ... 0.000 μB per atom
Formation energy (no corrections) ... -361 meV per atom
Relative energy among the computed polymorphs ... 0.000 eV per atom

---

4.
Density functional theory data (PBE) for a relaxed structure of K2UPbS5.

Cell: 9.117 9.117 14.927 Å, 90.00 90.00 153.55°
Element x y z (fractional)
K1 0.076 0.924 0.500
K2 0.137 0.863 0.140
K3 0.863 0.137 0.640
K4 0.924 0.076 0.000
U1 0.229 0.771 0.872
U2 0.771 0.229 0.372
Pb1 0.461 0.539 0.280
Pb2 0.539 0.461 0.780
S1 0.095 0.905 0.909
S2 0.256 0.744 0.480
S3 0.296 0.704 0.263
S4 0.364 0.636 0.834
S5 0.495 0.505 0.618
S6 0.505 0.495 0.118
S7 0.636 0.364 0.334
S8 0.704 0.296 0.763
S9 0.744 0.256 0.980
S10 0.905 0.095 0.409

Calculated values
Total magnetic moment ... 0.010 μB per atom
Formation energy (no corrections) ... -1011 meV per atom

---

5.
Density functional theory data (PBE) for a relaxed structure of InGeC2.

Cell: 4.941 4.941 9.497 Å, 90.00 90.00 90.00°
Element x y z (fractional)
In1 0.000 0.000 0.000
In2 0.000 0.500 0.250
In3 0.500 0.000 0.750
In4 0.500 0.500 0.500
Ge1 0.000 0.000 0.500
Ge2 0.000 0.500 0.750
Ge3 0.500 0.000 0.250
Ge4 0.500 0.500 0.000
C1 0.207 0.250 0.625
C2 0.250 0.707 0.875
C3 0.250 0.793 0.375
C4 0.293 0.250 0.125
C5 0.707 0.750 0.125
C6 0.750 0.207 0.375
C7 0.750 0.293 0.875
C8 0.793 0.750 0.625

Calculated values
Total magnetic moment ... 0.000 μB per atom
Formation energy ... 0.98 eV/atom
Relative energy among the computed polymorphs ... 0.000 eV per atom

---

6.
Density functional theory data (PBE) for a relaxed structure of Eu2CdBr.

Cell: 4.212 4.212 25.974 Å, 90.00 90.00 120.00°
Element x y z (fractional)
Eu1 0.000 0.000 0.248
Eu2 0.000 0.000 0.752
Eu3 0.333 0.667 0.418
Eu4 0.333 0.667 0.915
Eu5 0.667 0.333 0.085
Eu6 0.667 0.333 0.582
Cd1 0.000 0.000 0.000
Cd2 0.333 0.667 0.667
Cd3 0.667 0.333 0.333
Br1 0.000 0.000 0.500
Br2 0.333 0.667 0.167
Br3 0.667 0.333 0.833

Calculated values
Total magnetic moment ... 3.776 μB per atom
Formation energy (no corrections) ... -819 meV per atom
Relative energy among the computed polymorphs ... 0.000 eV per atom

---

7.
Density functional theory data (PBE) for a relaxed structure of Al2HgOs.

Cell: 5.778 6.920 3.162 Å, 90.00 90.00 90.00°
Element x y z (fractional)
Al1 0.250 0.250 0.000
Al2 0.250 0.750 0.000
Al3 0.750 0.250 0.000
Al4 0.750 0.750 0.000
Hg1 0.000 0.000 0.500
Hg2 0.500 0.500 0.500
Os1 0.000 0.500 0.500
Os2 0.500 0.000 0.500

Calculated values
Total magnetic moment ... 0.000 μB per atom
Formation energy ... 0.10 eV/atom

---

8.
Density functional theory data (PBE) for a relaxed structure of Mo2Ru5W.

Cell: 6.506 5.505 5.238 Å, 74.50 54.63 50.87°
Element x y z (fractional)
Mo1 0.236 0.764 0.236
Mo2 0.764 0.236 0.764
Ru1 0.253 0.253 0.247
Ru2 0.331 0.820 0.669
Ru3 0.753 0.753 0.747
Ru4 0.820 0.331 0.180
Ru5 0.829 0.829 0.171
W1 0.324 0.324 0.676

Calculated values
Total magnetic moment ... 0.000 μB per atom
Formation energy ... -0.04 eV/atom

---

9.
Density functional theory data (PBE) for a relaxed structure of Sc2B2Os.

Cell: 6.107 6.107 3.445 Å, 90.00 90.00 90.00°
Element x y z (fractional)
Sc1 0.188 0.312 0.000
Sc2 0.312 0.812 0.000
Sc3 0.688 0.188 0.000
Sc4 0.812 0.688 0.000
B1 0.101 0.601 0.500
B2 0.399 0.101 0.500
B3 0.601 0.899 0.500
B4 0.899 0.399 0.500
Os1 0.000 0.000 0.500
Os2 0.500 0.500 0.500

Calculated values
Total magnetic moment ... 0.000 μB per atom
Formation energy ... -0.57 eV/atom

---

10.
Density functional theory data (PBE) for a relaxed structure of Tl3Bi4Pb2.

Cell: 9.920 9.920 6.821 Å, 90.03 90.03 60.25°
Element x y z (fractional)
Tl1 0.001 0.999 0.750
Tl2 0.332 0.332 0.250
Tl3 0.332 0.332 0.750
Tl4 0.668 0.668 0.250
Tl5 0.668 0.668 0.750
Tl6 0.999 0.001 0.250
Bi1 0.005 0.663 0.503
Bi2 0.334 0.665 0.496
Bi3 0.335 0.666 0.004
Bi4 0.337 0.995 0.997
Bi5 0.663 0.005 0.003
Bi6 0.665 0.334 0.996
Bi7 0.666 0.335 0.504
Bi8 0.995 0.337 0.497
Pb1 0.001 0.329 0.000
Pb2 0.329 0.001 0.500
Pb3 0.671 0.999 0.500
Pb4 0.999 0.671 0.000

Calculated values
Total magnetic moment ... 0.000 μB per atom
Formation energy ... -0.03 eV/atom
Relative energy among the computed polymorphs ... 0.000 eV per atom

---

11.
Density functional theory data (PBE) for a relaxed structure of LiTlSi.

Cell: 4.443 4.443 7.532 Å, 90.00 90.00 120.00°
Element x y z (fractional)
Li1 0.000 0.000 0.000
Li2 0.000 0.000 0.500
Tl1 0.667 0.333 0.208
Tl2 0.667 0.333 0.792
Si1 0.333 0.667 0.342
Si2 0.333 0.667 0.658

Calculated values
Total magnetic moment ... 0.000 μB per atom
Formation energy (no corrections) ... 65 meV per atom

---

12.
Density functional theory data (PBE) for a relaxed structure of GaReOs.

Cell: 5.400 5.400 6.385 Å, 90.00 90.28 90.00°
Element x y z (fractional)
Ga1 0.248 0.000 0.196
Ga2 0.252 0.500 0.804
Ga3 0.748 0.500 0.196
Ga4 0.752 0.000 0.804
Re1 0.248 0.500 0.202
Re2 0.252 0.000 0.798
Re3 0.748 0.000 0.202
Re4 0.752 0.500 0.798
Os1 0.000 0.250 0.500
Os2 0.000 0.750 0.500
Os3 0.500 0.250 0.500
Os4 0.500 0.750 0.500

Calculated values
Total magnetic moment ... 0.000 μB per atom
Formation energy ... 0.33 eV/atom

---

13.
Density functional theory data (PBE) for a relaxed structure of PrTi2Si4.

Cell: 3.830 3.879 16.469 Å, 90.00 90.00 90.00°
Element x y z (fractional)
Pr1 0.000 0.000 0.000
Pr2 0.500 0.500 0.500
Ti1 0.000 0.500 0.315
Ti2 0.000 0.500 0.685
Ti3 0.500 0.000 0.185
Ti4 0.500 0.000 0.815
Si1 0.000 0.000 0.425
Si2 0.000 0.000 0.575
Si3 0.000 0.500 0.162
Si4 0.000 0.500 0.838
Si5 0.500 0.000 0.338
Si6 0.500 0.000 0.662
Si7 0.500 0.500 0.075
Si8 0.500 0.500 0.925

Calculated values
Total magnetic moment ... 0.000 μB per atom
Formation energy (no corrections) ... -568 meV per atom

---

14.
Density functional theory data (PBE) for a relaxed structure of Dy3Zn2Ge3.

Cell: 5.887 5.887 14.319 Å, 90.00 90.00 138.07°
Element x y z (fractional)
Dy1 0.069 0.931 0.614
Dy2 0.069 0.931 0.886
Dy3 0.355 0.645 0.750
Dy4 0.645 0.355 0.250
Dy5 0.931 0.069 0.114
Dy6 0.931 0.069 0.386
Zn1 0.226 0.774 0.099
Zn2 0.226 0.774 0.401
Zn3 0.774 0.226 0.599
Zn4 0.774 0.226 0.901
Ge1 0.361 0.639 0.250
Ge2 0.383 0.617 0.543
Ge3 0.383 0.617 0.957
Ge4 0.617 0.383 0.043
Ge5 0.617 0.383 0.457
Ge6 0.639 0.361 0.750

Calculated values
Total magnetic moment ... 0.004 μB per atom
Formation energy ... -0.65 eV/atom
Relative energy among the computed polymorphs ... 0.000 eV per atom

---

15.
Density functional theory data (PBE) for a relaxed structure of CsBe2HgRu.

Cell: 4.620 4.620 5.453 Å, 90.00 90.00 90.00°
Element x y z (fractional)
Cs1 0.000 0.000 0.000
Be1 0.000 0.500 0.500
Be2 0.500 0.000 0.500
Hg1 0.500 0.500 0.000
Ru1 0.500 0.500 0.500

Calculated values
Total magnetic moment ... 0.000 μB per atom
Formation energy ... 0.59 eV/atom

---

16.
Density functional theory data (PBE) for a relaxed structure of Ba3HgPb.

Cell: 10.877 10.877 4.493 Å, 90.00 90.00 116.41°
Element x y z (fractional)
Ba1 0.152 0.848 0.000
Ba2 0.205 0.416 0.499
Ba3 0.416 0.205 0.501
Ba4 0.584 0.795 0.501
Ba5 0.795 0.584 0.499
Ba6 0.848 0.152 0.000
Hg1 0.000 0.500 0.999
Hg2 0.500 0.000 0.001
Pb1 0.000 0.000 0.500
Pb2 0.500 0.500 0.000

Calculated values
Total magnetic moment ... 0.000 μB per atom
Formation energy ... -0.35 eV/atom
Relative energy among the computed polymorphs ... 0.124 eV per atom

---

17.
Density functional theory data (PBE) for a relaxed structure of CdGaIrO6.

Cell: 5.200 5.200 9.528 Å, 90.00 90.00 120.00°
Element x y z (fractional)
Cd1 0.000 0.000 0.000
Cd2 0.000 0.000 0.500
Ga1 0.333 0.667 0.250
Ga2 0.667 0.333 0.750
Ir1 0.333 0.667 0.750
Ir2 0.667 0.333 0.250
O1 0.010 0.374 0.639
O2 0.010 0.637 0.861
O3 0.363 0.374 0.861
O4 0.363 0.990 0.639
O5 0.374 0.010 0.139
O6 0.374 0.363 0.361
O7 0.626 0.637 0.639
O8 0.626 0.990 0.861
O9 0.637 0.010 0.361
O10 0.637 0.626 0.139
O11 0.990 0.363 0.139
O12 0.990 0.626 0.361

Calculated values
Total magnetic moment ... 0.000 μB per atom
Formation energy (no corrections) ... -952 meV per atom

---

18.
Density functional theory data (PBE) for a relaxed structure of CsLiScCl6.

Cell: 6.637 6.637 7.813 Å, 90.04 90.04 120.16°
Element x y z (fractional)
Cs1 0.000 0.000 0.000
Li1 0.334 0.666 0.500
Sc1 0.666 0.334 0.500
Cl1 0.387 0.009 0.311
Cl2 0.389 0.379 0.689
Cl3 0.621 0.611 0.311
Cl4 0.622 0.011 0.689
Cl5 0.989 0.378 0.311
Cl6 0.991 0.613 0.689

Calculated values
Total magnetic moment ... 0.129 μB per atom
Formation energy (no corrections) ... -1703 meV per atom

---

19.
Density functional theory data (PBE) for a relaxed structure of Pm3ThAu4.

Cell: 3.644 5.261 10.546 Å, 90.00 90.00 90.00°
Element x y z (fractional)
Pm1 0.000 0.000 0.000
Pm2 0.000 0.500 0.248
Pm3 0.000 0.500 0.752
Th1 0.000 0.000 0.500
Au1 0.500 0.000 0.249
Au2 0.500 0.000 0.751
Au3 0.500 0.500 0.000
Au4 0.500 0.500 0.500

Calculated values
Total magnetic moment ... 0.000 μB per atom
Formation energy ... -0.72 eV/atom

---

20.
Density functional theory data (PBE) for a relaxed structure of Ho2P2PbN6.

Cell: 5.909 5.995 6.310 Å, 100.52 112.63 111.80°
Element x y z (fractional)
Ho1 0.127 0.203 0.327
Ho2 0.873 0.797 0.673
P1 0.204 0.756 0.266
P2 0.796 0.244 0.734
Pb1 0.500 0.500 0.000
N1 0.009 0.773 0.379
N2 0.198 0.884 0.068
N3 0.395 0.628 0.361
N4 0.605 0.372 0.639
N5 0.802 0.116 0.932
N6 0.991 0.227 0.621

Calculated values
Total magnetic moment ... 0.000 μB per atom
Formation energy (no corrections) ... -657 meV per atom